First-principles (PBE) data for a geometry-optimized Ti2AlB2Ir5 structure, as listed in Alexandria.

Unit cell a=9.2275 b=9.2275 c=3.0632 alpha=90.00 beta=90.00 gamma=90.00
With the nearest neighbours (Å) after each atom.
Space group P4/mbm (No. 127)
Inequivalent atoms, fractional coordinates:
Ti 0.1755 0.3245 0.0000 x4  3 B 2.61-2.81, 6 Ir 2.76-2.82
Al 0.0000 0.0000 0.0000 x2  8 Ir 2.58
B 0.1247 0.6247 0.0000 x4  6 Ir 2.19-2.23
Ir 0.0000 0.5000 0.5000 x2  4 B 2.23
Ir 0.0712 0.7859 0.5000 x8  2 B 2.19

Output
Energy of formation: -0.748 eV per atom
Calculated total energy: -8.4668 eV per atom

---

First-principles (PBE) data for a geometry-optimized OsSe structure, as listed in Alexandria.

Unit cell a=7.4769 b=7.4769 c=7.4769 alpha=90.00 beta=90.00 gamma=90.00
With the nearest neighbours (Å) after each atom.
Space group I-43m (No. 217)
Inequivalent atoms, fractional coordinates:
Os 0.1299 0.1299 0.8701 x8  4 Se 2.35-2.46
Se 0.1884 0.1884 0.1884 x8  4 Os 2.35-2.46

Output
Calculated total energy: -6.7855 eV per atom

---

First-principles (PBE) data for a geometry-optimized PuAgPb2 structure, as listed in Alexandria.

Unit cell a=7.4939 b=7.4939 c=7.4939 alpha=90.00 beta=90.00 gamma=90.00
With the nearest neighbours (Å) after each atom.
Space group Fm-3m (No. 225)
Inequivalent atoms, fractional coordinates:
Pu 0.0000 0.0000 0.0000 x4  8 Pb 3.24
Ag 0.0000 0.0000 0.5000 x4  8 Pb 3.24
Pb 0.2500 0.2500 0.2500 x8  4 Pu 3.24, 4 Ag 3.24

Output
Energy of formation: 0.014 eV per atom
Offset from the most stable computed form: 0.0817 eV per atom
Calculated total energy: -6.1363 eV per atom

---

First-principles (PBE) data for a geometry-optimized Ce2PrAl6 structure, as listed in Alexandria.

Unit cell a=8.0165 b=8.0165 c=3.6209 alpha=90.00 beta=90.00 gamma=120.00
With the nearest neighbours (Å) after each atom.
Space group P6/mmm (No. 191)
Inequivalent atoms, fractional coordinates:
Ce 0.3333 0.6667 0.0000 x2  12 Al 3.22
Pr 0.0000 0.0000 0.0000 x1  12 Al 3.24, 2 Pr 3.62
Al 0.0000 0.3353 0.5000 x6  3 Al 2.64-2.69

Output
Energy of formation: -0.425 eV per atom
Calculated total energy: -4.7695 eV per atom